Record 1
Cd3BSe | PBE | optimized geometry

E above lowest polymorph   0.0000 eV/atom
Formation energy without anion corrections   1.61 eV/f.u.
M_tot   0.000 μB per formula unit

a = 4.675 Å, b = 4.675 Å, c = 4.675 Å
α = 90.00°, β = 90.00°, γ = 90.00°
Fractional positions:
Cd: 0.000 0.500 0.000
Cd: 0.000 0.000 0.500
Cd: 0.500 0.000 0.000
B: 0.000 0.000 0.000
Se: 0.500 0.500 0.500

---

Record 2
Cd2BSe | PBE | optimized geometry

E above lowest polymorph   0.0000 eV/atom
Formation energy without anion corrections   2.29 eV/f.u.
M_tot   0.000 μB per formula unit

a = 6.275 Å, b = 6.275 Å, c = 6.465 Å
α = 60.97°, β = 60.97°, γ = 90.00°
Fractional positions:
B: 0.250 0.750 0.500
B: 0.500 0.500 0.000
Se: 0.000 0.000 0.000
Se: 0.750 0.250 0.500
Cd: 0.375 0.423 0.750
Cd: 0.173 0.625 0.250
Cd: 0.577 0.125 0.250
Cd: 0.875 0.827 0.750

---

Record 3
Cd3BSe | PBE | optimized geometry

E above lowest polymorph   0.9342 eV/atom
Formation energy without anion corrections   6.28 eV/f.u.
M_tot   0.000 μB per formula unit

a = 5.349 Å, b = 5.349 Å, c = 5.349 Å
α = 90.00°, β = 90.00°, γ = 90.00°
Fractional positions:
Cd: 0.500 0.000 0.000
Cd: 0.000 0.500 0.000
Cd: 0.000 0.000 0.500
B: 0.500 0.500 0.500
Se: 0.000 0.000 0.000

---

Record 4
Cd2BSe | PBE | optimized geometry

E above lowest polymorph   0.3642 eV/atom
Formation energy without anion corrections   3.75 eV/f.u.
M_tot   0.000 μB per formula unit

a = 4.798 Å, b = 4.798 Å, c = 4.798 Å
α = 60.00°, β = 60.00°, γ = 60.00°
Fractional positions:
Cd: 0.750 0.750 0.750
Cd: 0.250 0.250 0.250
B: 0.000 0.000 0.000
Se: 0.500 0.500 0.500

---

What is the E above lowest polymorph in the second record? 0.0000 eV/atom